Computed, not measured: Zr2AlNi after structural relaxation at the GGA-PBE level of DFT.

abc: 5.0571 5.5314 5.5726
angles: 105.89 91.48 103.65
With the nearest neighbours (Å) after each atom.
Positions (direct):
Zr (0.1526, 0.1237, 0.2700)  3 Ni 2.62-2.77, 1 Al 2.90
Zr (0.2494, 0.5234, 0.8575)  3 Ni 2.78-2.90, 4 Al 2.92-3.06, 2 Zr 3.01-3.06
Zr (0.7506, 0.4766, 0.1425)  3 Ni 2.78-2.90, 4 Al 2.92-3.06, 2 Zr 3.01-3.06
Zr (0.8474, 0.8763, 0.7300)  3 Ni 2.62-2.77, 1 Al 2.90
Al (0.3058, 0.7038, 0.4107)  2 Ni 2.47-2.50
Al (0.6942, 0.2962, 0.5893)  2 Ni 2.47-2.50
Ni (0.3796, 0.0506, 0.8210)  2 Al 2.47-2.50, 1 Ni 2.57, 2 Zr 2.62-2.75
Ni (0.6204, 0.9494, 0.1790)  2 Al 2.47-2.50, 1 Ni 2.57, 2 Zr 2.62-2.75

Computed properties:
The space-group type is P-1 (2). The total energy is -7.11 eV/atom. Its formation energy from the elements is -0.45 eV per atom.